Compound: Sr2Ac6RuRh
Source: Alexandria
Functional: PBE
Structure: optimized geometry

POSCAR file:
```
Sr2Ac6RuRh
1.0
8.403 -0.003 0.003
-0.003 8.403 0.003
-4.197 -4.197 5.938
Ru Ac Rh Sr
1 6 1 2
Direct
0.500 0.500 0.000
0.252 0.253 0.504
0.748 0.748 0.496
0.748 0.252 0.000
0.252 0.748 0.000
0.748 0.748 0.999
0.252 0.253 0.000
0.000 0.001 0.000
0.250 0.751 0.500
0.750 0.250 0.500
```

Calculated values
- Theoretical density: 6.89 Mg/m³
- Formation enthalpy at 0 K: -0.214 eV/atom
- Final energy: -4.68 eV/atom
- Space group: Imm2
- Crystal system: orthorhombic
- DOS(E_F): 8.9 states/eV/cell
- Total magnetic moment: 0.0 μB/cell

Compound: Na4DyPu3S8
Source: Alexandria
Functional: PBE
Structure: optimized geometry

POSCAR file:
```
Na4DyPu3S8
1.0
8.062 0.000 0.000
0.000 8.101 0.016
-4.031 -4.025 5.705
Pu Na S Dy
3 4 8 1
Direct
0.000 0.500 0.500
0.500 0.500 0.000
0.500 0.500 0.500
0.500 0.000 0.000
0.000 0.000 0.500
0.000 0.000 0.000
0.500 0.000 0.500
0.241 0.727 0.483
0.241 0.727 0.986
0.256 0.273 0.014
0.759 0.273 0.014
0.741 0.724 0.483
0.759 0.273 0.517
0.259 0.276 0.517
0.744 0.727 0.986
0.000 0.500 0.000
```

Calculated values
- Theoretical density: 5.53 Mg/m³
- E_form (uncorrected): -1618 meV per atom
- Final energy: -6.99 eV/atom
- Space group: R-3m
- Crystal system: trigonal
- DOS(E_F): 27.3 states/eV/cell
- Total magnetic moment: 15.0 μB/cell

Compound: BaTlRe
Source: Alexandria
Functional: PBE
Structure: optimized geometry

POSCAR file:
```
BaTlRe
1.0
-2.659 4.663 -0.302
-1.322 -4.064 -3.262
-2.044 -1.029 2.111
Re Tl Ba
1 1 1
Direct
0.667 0.333 0.500
0.333 0.667 0.500
0.000 0.000 0.000
```

Calculated values
- Theoretical density: 11.25 Mg/m³
- Formation enthalpy at 0 K: 1.093 eV/atom
- Final energy: -4.49 eV/atom
- Space group: P-6m2
- Crystal system: hexagonal
- DOS(E_F): 3.6 states/eV/cell
- Total magnetic moment: 1.0 μB/cell
- Excess energy over the best structure of this formula in the dataset: 189 meV/atom

Compound: NbFePCl2
Source: Alexandria
Functional: PBE
Structure: optimized geometry

POSCAR file:
```
NbFePCl2
1.0
-0.192 -3.277 -3.049
4.395 -0.716 0.492
-0.849 -2.978 3.253
Cl Fe P Nb
2 1 1 1
Direct
0.500 0.000 0.000
0.000 0.500 0.000
0.000 0.000 0.000
0.000 0.000 0.500
0.500 0.500 0.500
```

Calculated values
- Theoretical density: 4.62 Mg/m³
- E_form (uncorrected): 572 meV per atom
- Final energy: -4.95 eV/atom
- Space group: P4/mmm
- Crystal system: tetragonal
- DOS(E_F): 6.9 states/eV/cell
- Total magnetic moment: 2.4 μB/cell
- Excess energy over the best structure of this formula in the dataset: 246 meV/atom

Compound: La3RuN
Source: Alexandria
Functional: PBE
Structure: optimized geometry

POSCAR file:
```
La3RuN
1.0
4.973 0.000 0.000
0.000 4.973 0.000
0.000 0.000 4.973
La N Ru
3 1 1
Direct
0.000 0.000 0.500
0.500 0.000 0.000
0.000 0.500 0.000
0.000 0.000 0.000
0.500 0.500 0.500
```

Calculated values
- Theoretical density: 7.18 Mg/m³
- E_form (uncorrected): -433 meV per atom
- Final energy: -6.91 eV/atom
- Space group: Pm-3m
- Crystal system: cubic
- DOS(E_F): 4.0 states/eV/cell
- Total magnetic moment: 0.0 μB/cell
- Excess energy over the best structure of this formula in the dataset: 0 meV/atom

Compound: Tb2DyCuS5
Source: Alexandria
Functional: PBE
Structure: optimized geometry

POSCAR file:
```
Tb2DyCuS5
1.0
-3.209 -0.164 -2.095
-2.344 -3.712 7.392
-3.197 10.184 4.100
S Dy Cu Tb
10 2 2 4
Direct
0.642 0.283 0.501
0.498 0.995 0.778
0.358 0.717 0.001
0.502 0.005 0.278
0.290 0.579 0.678
0.042 0.084 0.064
0.958 0.916 0.564
0.682 0.364 0.844
0.318 0.636 0.344
0.710 0.421 0.178
0.195 0.390 0.010
0.805 0.610 0.510
0.558 0.116 0.956
0.442 0.884 0.456
0.120 0.240 0.308
0.880 0.760 0.808
0.894 0.787 0.184
0.106 0.213 0.684
```

Calculated values
- Theoretical density: 6.36 Mg/m³
- E_form (uncorrected): -1722 meV per atom
- Final energy: -6.01 eV/atom
- Space group: Cmc2_1
- Crystal system: orthorhombic
- DOS(E_F): 0.2 states/eV/cell
- Total magnetic moment: 0.0 μB/cell

Compound: KRh2Pb
Source: Alexandria
Functional: PBE
Structure: optimized geometry

POSCAR file:
```
KRh2Pb
1.0
4.852 0.042 0.000
-0.047 4.852 0.000
0.000 0.000 3.351
Pb Rh K
1 2 1
Direct
0.000 0.500 0.500
0.500 0.500 0.000
0.000 0.000 0.000
0.500 0.000 0.500
```

Calculated values
- Theoretical density: 9.52 Mg/m³
- Formation enthalpy at 0 K: 0.473 eV/atom
- Final energy: -4.40 eV/atom
- Space group: P4/mmm
- Crystal system: tetragonal
- DOS(E_F): 2.0 states/eV/cell
- Total magnetic moment: 0.0 μB/cell

Compound: Ce6In3Bi
Source: Alexandria
Functional: PBE
Structure: optimized geometry

POSCAR file:
```
Ce6In3Bi
1.0
6.062 0.000 -0.031
0.000 8.972 0.000
0.076 0.000 10.541
In Bi Ce
6 2 12
Direct
0.810 0.372 0.752
0.310 0.128 0.252
0.190 0.628 0.248
0.690 0.872 0.748
0.000 0.000 0.500
0.500 0.500 0.000
0.500 0.500 0.500
0.000 0.000 0.000
0.233 0.113 0.749
0.973 0.643 0.950
0.529 0.143 0.952
0.767 0.887 0.251
0.527 0.143 0.550
0.029 0.357 0.452
0.971 0.643 0.548
0.473 0.857 0.450
0.267 0.613 0.751
0.733 0.387 0.249
0.471 0.857 0.048
0.027 0.357 0.050
```

Calculated values
- Theoretical density: 8.08 Mg/m³
- Formation enthalpy at 0 K: -0.218 eV/atom
- Final energy: -4.99 eV/atom
- Space group: P2_1/c
- Crystal system: monoclinic
- DOS(E_F): 50.3 states/eV/cell
- Total magnetic moment: 9.2 μB/cell

| no. | volume (A^3/atom) |
| --- | --- |
| 1 | 41.9 |
| 2 | 23.3 |
| 3 | 26.0 |
| 4 | 18.0 |
| 5 | 24.6 |
| 6 | 20.4 |
| 7 | 19.7 |
| 8 | 28.7 |